Record 1
First-principles (PBE) data for a relaxed HoGePb crystal, as listed in Alexandria.

Geometry as CIF:
```
data_HoGePb
_chemical_formula_sum 'Ho6 Ge6 Pb6'
_cell_length_a 4.4377
_cell_length_b 4.4377
_cell_length_c 31.6015
_cell_angle_alpha 90.00
_cell_angle_beta 90.00
_cell_angle_gamma 120.00
_space_group_name_H-M_alt 'R -3 m'
_space_group_IT_number 166
_space_group_name_Hall '-R 3 2"'
loop_
_atom_site_label
_atom_site_type_symbol
_atom_site_fract_x
_atom_site_fract_y
_atom_site_fract_z
_atom_site_occupancy
Ho1 Ho 0.0000 0.0000 0.2031 1
Ge1 Ge 0.0000 0.0000 0.0926 1
Pb1 Pb 0.0000 0.0000 0.3787 1
```

=====

Record 2
First-principles (PBE) data for a relaxed AcZnCo crystal, as listed in Alexandria.

Geometry as CIF:
```
data_AcZnCo
_chemical_formula_sum 'Ac4 Zn4 Co4'
_cell_length_a 11.321
_cell_length_b 4.102
_cell_length_c 7.191
_cell_angle_alpha 90.00
_cell_angle_beta 127.47
_cell_angle_gamma 90.00
_space_group_name_H-M_alt 'C 1 2/m 1'
_space_group_IT_number 12
loop_
_space_group_symop_operation_xyz
'x,y,z'
'-x,-y,-z'
'-x,y,-z'
'x,-y,z'
'x+1/2,y+1/2,z'
'-x+1/2,-y+1/2,-z'
'-x+1/2,y+1/2,-z'
'x+1/2,-y+1/2,z'
loop_
_atom_site_label
_atom_site_type_symbol
_atom_site_fract_x
_atom_site_fract_y
_atom_site_fract_z
_atom_site_occupancy
Ac1 Ac 0.067 0.000 0.308 1
Zn1 Zn 0.218 0.500 0.096 1
Co1 Co 0.125 0.500 0.664 1
```

=====

Record 3
# Te2RhBr PBE optimized geometry
# E_form (uncorrected)	-9	kJ/mol of atoms
data_Te2RhBr
_chemical_formula_sum 'Te4 Rh2 Br2'
_cell_length_a 3.592
_cell_length_b 5.555
_cell_length_c 10.264
_cell_angle_alpha 90.00
_cell_angle_beta 90.00
_cell_angle_gamma 90.00
_space_group_name_H-M_alt 'A m m 2'
_space_group_IT_number 38
loop_
_space_group_symop_operation_xyz
'x,y,z'
'-x,-y,z'
'-x,y,z'
'x,-y,z'
'x,y+1/2,z+1/2'
'-x,-y+1/2,z+1/2'
'-x,y+1/2,z+1/2'
'x,-y+1/2,z+1/2'
loop_
_atom_site_label
_atom_site_type_symbol
_atom_site_fract_x
_atom_site_fract_y
_atom_site_fract_z
_atom_site_occupancy
Te1 Te 0.000 0.000 0.000 1
Te2 Te 0.500 0.000 0.286 1
Rh1 Rh 0.500 0.000 0.826 1
Br1 Br 0.000 0.000 0.621 1

=====

Calculated final energy, -4.53, -4.29, -3.92 eV per atom (same order as the records).